# PrSc3B4O12

A geometry-optimized PrSc3B4O12 structure (PBE-GGA, Alexandria).

Lattice parameters (Å, degrees): 7.800 9.915 12.157 90.00 105.38 90.00
Space group C2/c (No. 15)
One atom of each set of equivalent atoms:
Pr  0.000  0.032  0.250
Sc  0.000  0.426  0.750
Sc  0.047  0.250  0.524
B  0.202  0.303  0.226
B  0.246  0.024  0.000
O  0.070  0.233  0.149
O  0.098  0.089  0.932
O  0.112  0.404  0.932
O  0.160  0.271  0.705
O  0.202  0.442  0.239
O  0.248  0.116  0.496

## Properties
- Formation energy without anion corrections: -3035 meV per atom
- Final energy: -8.5337 eV/atom